[1]
Below is a relaxed structure of ScCoBr3, with properties calculated at the PBE level.

Summary:
formation energy from raw total energies: -0.13 eV per atom

CIF file:
```
data_ScCoBr3
_chemical_formula_sum 'Sc1 Co1 Br3'
_space_group_name_H-M_alt 'P m -3 m'
_space_group_IT_number 221
_space_group_name_Hall '-P 4 2 3'
_cell_length_a 4.858
_cell_length_b 4.858
_cell_length_c 4.858
_cell_angle_alpha 90.00
_cell_angle_beta 90.00
_cell_angle_gamma 90.00
loop_
_atom_site_label
_atom_site_fract_x
_atom_site_fract_y
_atom_site_fract_z
Sc1 0.000 0.000 0.000
Co1 0.500 0.500 0.500
Br1 0.000 0.500 0.500
```

---

[2]
Below is a relaxed structure of PaNiGeN, with properties calculated at the PBE level.

Summary:
formation energy from raw total energies: -0.93 eV per atom

CIF file:
```
data_PaNiGeN
_chemical_formula_sum 'Pa2 Ni2 Ge2 N2'
_space_group_name_H-M_alt 'P 4/n m m'
_space_group_IT_number 129
_cell_length_a 4.072
_cell_length_b 4.072
_cell_length_c 7.413
_cell_angle_alpha 90.00
_cell_angle_beta 90.00
_cell_angle_gamma 90.00
loop_
_space_group_symop_operation_xyz
'x,y,z'
'-x,-y,-z'
'-y+1/2,x,z'
'y+1/2,-x,-z'
'-x+1/2,-y+1/2,z'
'x+1/2,y+1/2,-z'
'y,-x+1/2,z'
'-y,x+1/2,-z'
'x+1/2,-y,-z'
'-x+1/2,y,z'
'-y,-x,-z'
'y,x,z'
'-x,y+1/2,-z'
'x,-y+1/2,z'
'y+1/2,x+1/2,-z'
'-y+1/2,-x+1/2,z'
loop_
_atom_site_label
_atom_site_fract_x
_atom_site_fract_y
_atom_site_fract_z
Pa1 0.250 0.250 0.147
Ni1 0.250 0.250 0.662
Ge1 0.250 0.750 0.500
N1 0.250 0.750 0.000
```

---

[3]
Below is a relaxed structure of Co2NiOs, with properties calculated at the PBE level.

Summary:
formation energy from the elements: 0.57 eV per formula unit

CIF file:
```
data_Co2NiOs
_chemical_formula_sum 'Co4 Ni2 Os2'
_space_group_name_H-M_alt 'I -4 m 2'
_space_group_IT_number 119
_space_group_name_Hall 'I -4 -2'
_cell_length_a 3.551
_cell_length_b 3.551
_cell_length_c 7.293
_cell_angle_alpha 90.00
_cell_angle_beta 90.00
_cell_angle_gamma 90.00
loop_
_atom_site_label
_atom_site_fract_x
_atom_site_fract_y
_atom_site_fract_z
Co1 0.000 0.000 0.000
Co2 0.000 0.500 0.250
Ni1 0.000 0.000 0.500
Os1 0.000 0.500 0.750
```

---

[4]
Below is a relaxed structure of AgTe2IF, with properties calculated at the PBE level.

Summary:
formation energy from raw total energies: 0.34 eV per atom

CIF file:
```
data_AgTe2IF
_chemical_formula_sum 'Ag1 Te2 I1 F1'
_space_group_name_H-M_alt 'P 4/m m m'
_space_group_IT_number 123
_space_group_name_Hall '-P 4 2'
_cell_length_a 5.448
_cell_length_b 5.448
_cell_length_c 5.580
_cell_angle_alpha 90.00
_cell_angle_beta 90.00
_cell_angle_gamma 90.00
loop_
_atom_site_label
_atom_site_fract_x
_atom_site_fract_y
_atom_site_fract_z
Ag1 0.000 0.000 0.000
Te1 0.000 0.500 0.000
I1 0.000 0.000 0.500
F1 0.500 0.500 0.500
```

---

[5]
Below is a relaxed structure of Ce3As2H4Pd2, with properties calculated at the PBE level.

Summary:
total DFT energy (no corrections): -0.3914 Ry/atom

CIF file:
```
data_Ce3As2H4Pd2
_chemical_formula_sum 'Ce6 As4 H8 Pd4'
_space_group_name_H-M_alt 'I 4/m m m'
_space_group_IT_number 139
_space_group_name_Hall '-I 4 2'
_cell_length_a 4.002
_cell_length_b 4.002
_cell_length_c 21.363
_cell_angle_alpha 90.00
_cell_angle_beta 90.00
_cell_angle_gamma 90.00
loop_
_atom_site_label
_atom_site_fract_x
_atom_site_fract_y
_atom_site_fract_z
Ce1 0.000 0.000 0.000
Ce2 0.000 0.000 0.168
As1 0.000 0.000 0.305
H1 0.000 0.500 0.075
Pd1 0.000 0.000 0.430
```

---

[6]
Below is a relaxed structure of LiSn3Bi, with properties calculated at the PBE level.

Summary:
formation energy from the elements: 3.20 eV per formula unit

CIF file:
```
data_LiSn3Bi
_chemical_formula_sum 'Li1 Sn3 Bi1'
_space_group_name_H-M_alt 'P m -3 m'
_space_group_IT_number 221
_space_group_name_Hall '-P 4 2 3'
_cell_length_a 5.962
_cell_length_b 5.962
_cell_length_c 5.962
_cell_angle_alpha 90.00
_cell_angle_beta 90.00
_cell_angle_gamma 90.00
loop_
_atom_site_label
_atom_site_fract_x
_atom_site_fract_y
_atom_site_fract_z
Li1 0.000 0.000 0.000
Sn1 0.000 0.500 0.500
Bi1 0.500 0.500 0.500
```

---

[7]
Below is a relaxed structure of Cr2PdSe2, with properties calculated at the PBE level.

Summary:
formation energy from raw total energies: -0.04 eV per atom

CIF file:
```
data_Cr2PdSe2
_chemical_formula_sum 'Cr4 Pd2 Se4'
_space_group_name_H-M_alt 'P 4/m b m'
_space_group_IT_number 127
_space_group_name_Hall '-P 4 2ab'
_cell_length_a 7.143
_cell_length_b 7.143
_cell_length_c 3.408
_cell_angle_alpha 90.00
_cell_angle_beta 90.00
_cell_angle_gamma 90.00
loop_
_atom_site_label
_atom_site_fract_x
_atom_site_fract_y
_atom_site_fract_z
Cr1 0.152 0.348 0.000
Pd1 0.000 0.000 0.500
Se1 0.159 0.659 0.500
```

---

[8]
Below is a relaxed structure of Mn2AgCl, with properties calculated at the PBE level.

Summary:
formation energy from raw total energies: 0.44 eV per atom

CIF file:
```
data_Mn2AgCl
_chemical_formula_sum 'Mn4 Ag2 Cl2'
_space_group_name_H-M_alt 'I -4 m 2'
_space_group_IT_number 119
_space_group_name_Hall 'I -4 -2'
_cell_length_a 3.772
_cell_length_b 3.772
_cell_length_c 10.592
_cell_angle_alpha 90.00
_cell_angle_beta 90.00
_cell_angle_gamma 90.00
loop_
_atom_site_label
_atom_site_fract_x
_atom_site_fract_y
_atom_site_fract_z
Mn1 0.000 0.000 0.000
Mn2 0.000 0.500 0.250
Ag1 0.000 0.500 0.750
Cl1 0.000 0.000 0.500
```

---

[9]
Below is a relaxed structure of TlZnI2O, with properties calculated at the PBE level.

Summary:
formation energy from raw total energies: 0.09 eV per atom

CIF file:
```
data_TlZnI2O
_chemical_formula_sum 'Tl1 Zn1 I2 O1'
_space_group_name_H-M_alt 'P 4/m m m'
_space_group_IT_number 123
_space_group_name_Hall '-P 4 2'
_cell_length_a 6.171
_cell_length_b 6.171
_cell_length_c 4.112
_cell_angle_alpha 90.00
_cell_angle_beta 90.00
_cell_angle_gamma 90.00
loop_
_atom_site_label
_atom_site_fract_x
_atom_site_fract_y
_atom_site_fract_z
Tl1 0.000 0.000 0.000
Zn1 0.500 0.500 0.500
I1 0.000 0.500 0.000
O1 0.000 0.000 0.500
```

---

[10]
Below is a relaxed structure of ReB3Pb, with properties calculated at the PBE level.

Summary:
formation energy from the elements: 4.46 eV per formula unit

CIF file:
```
data_ReB3Pb
_chemical_formula_sum 'Re1 B3 Pb1'
_space_group_name_H-M_alt 'P m -3 m'
_space_group_IT_number 221
_space_group_name_Hall '-P 4 2 3'
_cell_length_a 4.252
_cell_length_b 4.252
_cell_length_c 4.252
_cell_angle_alpha 90.00
_cell_angle_beta 90.00
_cell_angle_gamma 90.00
loop_
_atom_site_label
_atom_site_fract_x
_atom_site_fract_y
_atom_site_fract_z
Re1 0.000 0.000 0.000
B1 0.000 0.000 0.500
Pb1 0.500 0.500 0.500
```

---

[11]
Below is a relaxed structure of PuUP2Rh2, with properties calculated at the PBE level.

Summary:
formation energy from the elements: -5.74 eV per formula unit

CIF file:
```
data_PuUP2Rh2
_chemical_formula_sum 'Pu1 U1 P2 Rh2'
_space_group_name_H-M_alt 'P -3 m 1'
_space_group_IT_number 164
_space_group_name_Hall '-P 3 2"'
_cell_length_a 4.0805
_cell_length_b 4.0805
_cell_length_c 7.5867
_cell_angle_alpha 90.00
_cell_angle_beta 90.00
_cell_angle_gamma 120.00
loop_
_atom_site_label
_atom_site_fract_x
_atom_site_fract_y
_atom_site_fract_z
Pu1 0.0000 0.0000 0.0000
U1 0.0000 0.0000 0.5000
P1 0.3333 0.6667 0.2294
Rh1 0.3333 0.6667 0.7151
```

---

[12]
Below is a relaxed structure of K2LaTl, with properties calculated at the PBE level.

Summary:
formation energy from the elements: 1.22 eV per formula unit

CIF file:
```
data_K2LaTl
_chemical_formula_sum 'K2 La1 Tl1'
_space_group_name_H-M_alt 'P 4/m m m'
_space_group_IT_number 123
_space_group_name_Hall '-P 4 2'
_cell_length_a 4.786
_cell_length_b 4.786
_cell_length_c 7.302
_cell_angle_alpha 90.00
_cell_angle_beta 90.00
_cell_angle_gamma 90.00
loop_
_atom_site_label
_atom_site_fract_x
_atom_site_fract_y
_atom_site_fract_z
K1 0.000 0.000 0.224
La1 0.500 0.500 0.500
Tl1 0.500 0.500 0.000
```

---

[13]
Below is a relaxed structure of Tl2Cd2SnHg2, with properties calculated at the PBE level.

Summary:
formation energy from the elements: 0.34 eV per formula unit

CIF file:
```
data_Tl2Cd2SnHg2
_chemical_formula_sum 'Tl4 Cd4 Sn2 Hg4'
_space_group_name_H-M_alt 'C 1 2/m 1'
_space_group_IT_number 12
_cell_length_a 16.487
_cell_length_b 3.214
_cell_length_c 8.364
_cell_angle_alpha 90.00
_cell_angle_beta 119.60
_cell_angle_gamma 90.00
loop_
_space_group_symop_operation_xyz
'x,y,z'
'-x,-y,-z'
'-x,y,-z'
'x,-y,z'
'x+1/2,y+1/2,z'
'-x+1/2,-y+1/2,-z'
'-x+1/2,y+1/2,-z'
'x+1/2,-y+1/2,z'
loop_
_atom_site_label
_atom_site_fract_x
_atom_site_fract_y
_atom_site_fract_z
Tl1 0.141 0.000 0.361
Cd1 0.076 0.000 0.925
Sn1 0.000 0.500 0.500
Hg1 0.211 0.500 0.798
```